Record 1
Pr4Nd3Hg3N2 | GGA-PBE | optimized geometry

Values from the calculation:
Space group: Immm (71)
ΔE_f (raw) (meV/atom): -683
Calculated density (Mg/m³): 8.335

a b c (Å): 12.9750 12.9750 12.9750
angles (deg): 157.43 157.25 32.26
Last column: nearest neighbours and their distance in Å.
Fractional coordinates of all 12 atoms:
Pr 0.0963 0.0963 0.0000  2 N 2.56
Pr 0.2995 0.7995 0.5000  1 N 2.47
Pr 0.7005 0.2005 0.5000  1 N 2.47
Pr 0.9037 0.9037 0.0000  2 N 2.56
Nd 0.4033 0.4033 0.0000  2 N 2.54
Nd 0.5000 0.0000 0.5000  2 N 2.52
Nd 0.5967 0.5967 0.0000  2 N 2.54
Hg 0.0000 0.5000 0.5000  4 Pr 3.50, 8 Nd 3.51-3.61
Hg 0.1746 0.6746 0.5000  3 Pr 3.11-3.20, 2 Nd 3.21
Hg 0.8254 0.3254 0.5000  3 Pr 3.11-3.20, 2 Nd 3.21
N 0.3987 0.8987 0.5000  3 Pr 2.47-2.56, 3 Nd 2.52-2.54
N 0.6013 0.1013 0.5000  3 Pr 2.47-2.56, 3 Nd 2.52-2.54

Record 2
BaWSe3 | GGA-PBE | optimized geometry

Values from the calculation:
Space group: Pm-3m (221)
ΔE_f (raw) (meV/atom): -725
Calculated density (Mg/m³): 7.141

a b c (Å): 5.0629 5.0629 5.0629
angles (deg): 90.00 90.00 90.00
Last column: nearest neighbours and their distance in Å.
Fractional coordinates of all 5 atoms:
Ba 0.0000 0.0000 0.0000  12 Se 3.58
W 0.5000 0.5000 0.5000  6 Se 2.53
Se 0.0000 0.5000 0.5000  2 W 2.53
Se 0.5000 0.0000 0.5000  2 W 2.53
Se 0.5000 0.5000 0.0000  2 W 2.53

Record 3
LiSeN2Cl | GGA-PBE | optimized geometry

Values from the calculation:
Space group: P4/mmm (123)
ΔE_f (raw) (meV/atom): 1733
Calculated density (Mg/m³): 2.764

a b c (Å): 4.0486 4.0486 5.4751
angles (deg): 90.00 90.00 90.00
Last column: nearest neighbours and their distance in Å.
Fractional coordinates of all 5 atoms:
Li 0.0000 0.0000 0.0000  4 N 2.02
Se 0.0000 0.0000 0.5000  2 Li 2.74, 4 Cl 2.86
N 0.0000 0.5000 0.0000  2 Li 2.02
N 0.5000 0.0000 0.0000  2 Li 2.02
Cl 0.5000 0.5000 0.5000  4 Se 2.86

Record 4
RbTe2PtBr | GGA-PBE | optimized geometry

Values from the calculation:
Space group: P4/mmm (123)
ΔE_f (raw) (meV/atom): 746
Calculated density (Mg/m³): 5.400

a b c (Å): 5.6172 5.6172 6.0005
angles (deg): 90.00 90.00 90.00
Last column: nearest neighbours and their distance in Å.
Fractional coordinates of all 5 atoms:
Rb 0.0000 0.0000 0.0000  2 Br 3.00
Te 0.0000 0.5000 0.5000  2 Br 2.81
Te 0.5000 0.0000 0.5000  2 Br 2.81
Pt 0.5000 0.5000 0.0000  4 Rb 3.97, 8 Te 4.11
Br 0.0000 0.0000 0.5000  4 Te 2.81, 2 Rb 3.00

Record 5
Ac2Pr6Dy5 | GGA-PBE | optimized geometry

Values from the calculation:
Space group: Pbam (55)
Energy of formation (kJ/mol of atoms): 10.6
Calculated density (Mg/m³): 7.443

a b c (Å): 12.1638 20.7821 3.7277
angles (deg): 90.00 90.00 90.00
Last column: nearest neighbours and their distance in Å.
Fractional coordinates of all 26 atoms:
Ac 0.1628 0.2195 0.0000  4 Pr 3.61-4.00, 6 Dy 3.68-3.94, 2 Ac 3.73
Ac 0.3372 0.7195 0.0000  4 Pr 3.61-4.00, 6 Dy 3.68-3.94, 2 Ac 3.73
Ac 0.6629 0.2805 0.0000  4 Pr 3.61-4.00, 6 Dy 3.68-3.94, 2 Ac 3.73
Ac 0.8372 0.7805 0.0000  4 Pr 3.61-4.00, 6 Dy 3.68-3.94, 2 Ac 3.73
Pr 0.0562 0.9239 0.0000  5 Pr 3.45-3.81, 6 Dy 3.56-3.74
Pr 0.0762 0.6363 0.0000  6 Dy 3.51-3.69, 1 Ac 3.61, 4 Pr 3.66-3.73
Pr 0.1815 0.3802 0.5000  2 Dy 3.33-3.40, 2 Pr 3.66
Pr 0.3185 0.8802 0.5000  2 Dy 3.33-3.40, 2 Pr 3.66
Pr 0.4238 0.1363 0.0000  6 Dy 3.51-3.69, 1 Ac 3.61, 4 Pr 3.66-3.73
Pr 0.4438 0.4239 0.0000  5 Pr 3.45-3.81, 6 Dy 3.56-3.74
Pr 0.5562 0.5761 0.0000  5 Pr 3.45-3.81, 6 Dy 3.56-3.74
Pr 0.5762 0.8637 0.0000  6 Dy 3.51-3.69, 1 Ac 3.61, 4 Pr 3.66-3.73
Pr 0.6815 0.1198 0.5000  2 Dy 3.33-3.40, 2 Pr 3.66
Pr 0.8185 0.6198 0.5000  2 Dy 3.33-3.40, 2 Pr 3.66
Pr 0.9238 0.3637 0.0000  6 Dy 3.51-3.69, 1 Ac 3.61, 4 Pr 3.66-3.73
Pr 0.9438 0.0761 0.0000  5 Pr 3.45-3.81, 6 Dy 3.56-3.74
Dy 0.0000 0.5000 0.5000  6 Pr 3.33-3.51
Dy 0.0976 0.7801 0.5000  5 Pr 3.40-3.56, 4 Ac 3.68, 2 Dy 3.73
Dy 0.2021 0.0543 0.5000  7 Pr 3.68-3.88, 3 Dy 3.73-3.79, 2 Ac 3.94
Dy 0.2979 0.5543 0.5000  7 Pr 3.68-3.88, 3 Dy 3.73-3.79, 2 Ac 3.94
Dy 0.4024 0.2801 0.5000  5 Pr 3.40-3.56, 4 Ac 3.68, 2 Dy 3.73
Dy 0.5000 0.0000 0.5000  6 Pr 3.33-3.51
Dy 0.5976 0.7199 0.5000  5 Pr 3.40-3.56, 4 Ac 3.68, 2 Dy 3.73
Dy 0.7021 0.4457 0.5000  7 Pr 3.68-3.88, 3 Dy 3.73-3.79, 2 Ac 3.94
Dy 0.7979 0.9457 0.5000  7 Pr 3.68-3.88, 3 Dy 3.73-3.79, 2 Ac 3.94
Dy 0.9024 0.2199 0.5000  5 Pr 3.40-3.56, 4 Ac 3.68, 2 Dy 3.73

Record 6
CaAcBiPd | GGA-PBE | optimized geometry

Values from the calculation:
Space group: F-43m (216)
Energy of formation (kJ/mol of atoms): -68.7
Calculated density (Mg/m³): 8.117

a b c (Å): 5.5235 5.5235 5.5235
angles (deg): 60.00 60.00 60.00
Last column: nearest neighbours and their distance in Å.
Fractional coordinates of all 4 atoms:
Ca 0.0000 0.0000 0.0000  4 Bi 3.38, 4 Pd 3.38
Ac 0.5000 0.5000 0.5000  4 Pd 3.38, 4 Bi 3.38
Bi 0.2500 0.2500 0.2500  4 Ac 3.38, 4 Ca 3.38
Pd 0.7500 0.7500 0.7500  4 Ca 3.38, 4 Ac 3.38

Record 7
TmSc5Tl2 | GGA-PBE | optimized geometry

Values from the calculation:
Space group: Pbam (55)
Energy of formation (kJ/mol of atoms): -18.3
Calculated density (Mg/m³): 6.955

a b c (Å): 6.4745 12.9574 4.5679
angles (deg): 90.00 90.00 90.00
Last column: nearest neighbours and their distance in Å.
Fractional coordinates of all 16 atoms:
Tm 0.0000 0.0000 0.0000  8 Sc 3.24-3.28, 4 Tl 3.25
Tm 0.5000 0.5000 0.0000  8 Sc 3.24-3.28, 4 Tl 3.25
Sc 0.0000 0.5000 0.0000  6 Sc 3.20-3.24, 2 Tm 3.24, 4 Tl 3.24
Sc 0.0022 0.2528 0.0000  7 Sc 3.19-3.24, 4 Tl 3.20-3.25, 1 Tm 3.28
Sc 0.2455 0.6281 0.5000  4 Tl 3.18-3.30, 6 Sc 3.19-3.24, 2 Tm 3.27
Sc 0.2545 0.1281 0.5000  4 Tl 3.18-3.30, 6 Sc 3.19-3.24, 2 Tm 3.27
Sc 0.4978 0.7528 0.0000  7 Sc 3.19-3.24, 4 Tl 3.20-3.25, 1 Tm 3.28
Sc 0.5000 0.0000 0.0000  6 Sc 3.20-3.24, 2 Tm 3.24, 4 Tl 3.24
Sc 0.5022 0.2472 0.0000  7 Sc 3.19-3.24, 4 Tl 3.20-3.25, 1 Tm 3.28
Sc 0.7455 0.8719 0.5000  4 Tl 3.18-3.30, 6 Sc 3.19-3.24, 2 Tm 3.27
Sc 0.7545 0.3719 0.5000  4 Tl 3.18-3.30, 6 Sc 3.19-3.24, 2 Tm 3.27
Sc 0.9978 0.7472 0.0000  7 Sc 3.19-3.24, 4 Tl 3.20-3.25, 1 Tm 3.28
Tl 0.2487 0.3736 0.5000  10 Sc 3.18-3.30, 2 Tm 3.25
Tl 0.2513 0.8736 0.5000  10 Sc 3.18-3.30, 2 Tm 3.25
Tl 0.7487 0.1264 0.5000  10 Sc 3.18-3.30, 2 Tm 3.25
Tl 0.7513 0.6264 0.5000  10 Sc 3.18-3.30, 2 Tm 3.25

Record 8
Na7TlHg5 | GGA-PBE | optimized geometry

Values from the calculation:
Space group: Imm2 (44)
Energy of formation (kJ/mol of atoms): -16.6
Calculated density (Mg/m³): 6.137

a b c (Å): 8.3395 8.3395 8.3395
angles (deg): 136.61 97.44 98.28
Last column: nearest neighbours and their distance in Å.
Fractional coordinates of all 13 atoms:
Na 0.0000 0.0000 0.0000  1 Tl 3.54, 8 Na 3.64-3.85, 4 Hg 3.68
Na 0.2678 0.5704 0.6975  5 Hg 3.17-3.20, 3 Na 3.47-3.48, 1 Tl 3.52
Na 0.3651 0.3651 0.0000  6 Hg 3.20-3.26, 1 Tl 3.39
Na 0.3991 0.0553 0.3438  5 Hg 3.22-3.41, 4 Na 3.38-3.48
Na 0.7115 0.0553 0.6562  5 Hg 3.22-3.41, 4 Na 3.38-3.48
Na 0.8221 0.3221 0.5000  4 Hg 3.09, 2 Na 3.38
Na 0.8729 0.5704 0.3025  5 Hg 3.17-3.20, 3 Na 3.47-3.48, 1 Tl 3.52
Tl 0.6757 0.6757 0.0000  10 Na 3.39-3.77, 4 Hg 3.45
Hg 0.0602 0.0673 0.4937  3 Hg 3.08-3.24, 6 Na 3.09-3.38
Hg 0.0602 0.5665 0.9929  3 Hg 3.08-3.24, 6 Na 3.09-3.38
Hg 0.2851 0.7851 0.5000  6 Na 3.20-3.41, 4 Hg 3.24
Hg 0.5737 0.0673 0.0071  3 Hg 3.08-3.24, 6 Na 3.09-3.38
Hg 0.5737 0.5665 0.5063  3 Hg 3.08-3.24, 6 Na 3.09-3.38